No. 1
# KAlSbSe4 GGA-PBE optimized geometry
data_KAlSbSe4
_space_group_name_H-M_alt 'P 1 21/m 1'
_space_group_IT_number 11
_space_group_name_Hall '-P 2yb'
_cell_length_a 6.778
_cell_length_b 6.858
_cell_length_c 9.465
_cell_angle_alpha 90.00
_cell_angle_beta 110.52
_cell_angle_gamma 90.00
loop_
_atom_site_label
_atom_site_type_symbol
_atom_site_fract_x
_atom_site_fract_y
_atom_site_fract_z
K1 K 0.212 0.250 0.439
Al1 Al 0.277 0.750 0.172
Sb1 Sb 0.270 0.250 0.926
Se1 Se 0.026 0.750 0.923
Se2 Se 0.077 0.750 0.335
Se3 Se 0.467 0.511 0.784
# - energy relative to the elements, uncorrected (meV/atom) = -614
# - final energy (eV/atom) = -3.886
# - volume (Å³ per atom) = 29.43



No. 2
# KAlSbSe3 GGA-PBE optimized geometry
data_KAlSbSe3
_space_group_name_H-M_alt 'P 1 21/m 1'
_space_group_IT_number 11
_space_group_name_Hall '-P 2yb'
_cell_length_a 9.550
_cell_length_b 4.049
_cell_length_c 10.306
_cell_angle_alpha 90.00
_cell_angle_beta 96.88
_cell_angle_gamma 90.00
loop_
_atom_site_label
_atom_site_type_symbol
_atom_site_fract_x
_atom_site_fract_y
_atom_site_fract_z
K1 K 0.165 0.250 0.167
Al1 Al 0.085 0.250 0.605
Sb1 Sb 0.372 0.750 0.839
Se1 Se 0.117 0.250 0.832
Se2 Se 0.167 0.750 0.492
Se3 Se 0.437 0.750 0.147
# - energy relative to the elements, uncorrected (meV/atom) = -676
# - final energy (eV/atom) = -3.912
# - volume (Å³ per atom) = 32.97



No. 3
# KAlSn2Sb GGA-PBE optimized geometry
data_KAlSn2Sb
_space_group_name_H-M_alt 'P 4/m m m'
_space_group_IT_number 123
_space_group_name_Hall '-P 4 2'
_cell_length_a 5.950
_cell_length_b 5.950
_cell_length_c 5.322
_cell_angle_alpha 90.00
_cell_angle_beta 90.00
_cell_angle_gamma 90.00
loop_
_atom_site_label
_atom_site_type_symbol
_atom_site_fract_x
_atom_site_fract_y
_atom_site_fract_z
K1 K 0.000 0.000 0.000
Al1 Al 0.500 0.500 0.000
Sn1 Sn 0.000 0.500 0.500
Sb1 Sb 0.500 0.500 0.500
# - energy relative to the elements, uncorrected (meV/atom) = 413
# - final energy (eV/atom) = -2.981
# - volume (Å³ per atom) = 37.68



No. 4
# KSrAlSb2 GGA-PBE optimized geometry
data_KSrAlSb2
_space_group_name_H-M_alt 'P 4/m m m'
_space_group_IT_number 123
_space_group_name_Hall '-P 4 2'
_cell_length_a 6.075
_cell_length_b 6.075
_cell_length_c 6.180
_cell_angle_alpha 90.00
_cell_angle_beta 90.00
_cell_angle_gamma 90.00
loop_
_atom_site_label
_atom_site_type_symbol
_atom_site_fract_x
_atom_site_fract_y
_atom_site_fract_z
K1 K 0.000 0.000 0.000
Sr1 Sr 0.000 0.000 0.500
Al1 Al 0.500 0.500 0.000
Sb1 Sb 0.000 0.500 0.500
# - energy relative to the elements, uncorrected (meV/atom) = 558
# - final energy (eV/atom) = -2.395
# - volume (Å³ per atom) = 45.61



No. 5
# KAlSb2Te GGA-PBE optimized geometry
data_KAlSb2Te
_space_group_name_H-M_alt 'P 4/m m m'
_space_group_IT_number 123
_space_group_name_Hall '-P 4 2'
_cell_length_a 5.957
_cell_length_b 5.957
_cell_length_c 5.621
_cell_angle_alpha 90.00
_cell_angle_beta 90.00
_cell_angle_gamma 90.00
loop_
_atom_site_label
_atom_site_type_symbol
_atom_site_fract_x
_atom_site_fract_y
_atom_site_fract_z
K1 K 0.000 0.000 0.000
Al1 Al 0.000 0.000 0.500
Sb1 Sb 0.000 0.500 0.000
Te1 Te 0.500 0.500 0.500
# - energy relative to the elements, uncorrected (meV/atom) = 1253
# - final energy (eV/atom) = -1.992
# - distance to the lowest polymorph of the same formula (eV/f.u.) = 6.13
# - volume (Å³ per atom) = 39.89



No. 6
# KAlSb2Te GGA-PBE optimized geometry
data_KAlSb2Te
_space_group_name_H-M_alt 'P 4/m m m'
_space_group_IT_number 123
_space_group_name_Hall '-P 4 2'
_cell_length_a 5.895
_cell_length_b 5.895
_cell_length_c 5.974
_cell_angle_alpha 90.00
_cell_angle_beta 90.00
_cell_angle_gamma 90.00
loop_
_atom_site_label
_atom_site_type_symbol
_atom_site_fract_x
_atom_site_fract_y
_atom_site_fract_z
K1 K 0.000 0.000 0.000
Al1 Al 0.500 0.500 0.500
Sb1 Sb 0.000 0.500 0.000
Te1 Te 0.000 0.000 0.500
# - energy relative to the elements, uncorrected (meV/atom) = 1160
# - final energy (eV/atom) = -2.085
# - distance to the lowest polymorph of the same formula (eV/f.u.) = 5.66
# - volume (Å³ per atom) = 41.52



No. 7
# KAlSbTe3 GGA-PBE optimized geometry
data_KAlSbTe3
_space_group_name_H-M_alt 'P 1 21/m 1'
_space_group_IT_number 11
_space_group_name_Hall '-P 2yb'
_cell_length_a 10.000
_cell_length_b 4.362
_cell_length_c 11.054
_cell_angle_alpha 90.00
_cell_angle_beta 99.77
_cell_angle_gamma 90.00
loop_
_atom_site_label
_atom_site_type_symbol
_atom_site_fract_x
_atom_site_fract_y
_atom_site_fract_z
K1 K 0.161 0.250 0.187
Al1 Al 0.084 0.250 0.608
Sb1 Sb 0.372 0.750 0.842
Te1 Te 0.129 0.250 0.843
Te2 Te 0.182 0.750 0.503
Te3 Te 0.430 0.750 0.144
# - energy relative to the elements, uncorrected (meV/atom) = -434
# - final energy (eV/atom) = -3.499
# - volume (Å³ per atom) = 39.60



No. 8
# KAl2SbTe GGA-PBE optimized geometry
data_KAl2SbTe
_space_group_name_H-M_alt 'P 4/m m m'
_space_group_IT_number 123
_space_group_name_Hall '-P 4 2'
_cell_length_a 5.358
_cell_length_b 5.358
_cell_length_c 6.322
_cell_angle_alpha 90.00
_cell_angle_beta 90.00
_cell_angle_gamma 90.00
loop_
_atom_site_label
_atom_site_type_symbol
_atom_site_fract_x
_atom_site_fract_y
_atom_site_fract_z
K1 K 0.000 0.000 0.000
Al1 Al 0.000 0.500 0.500
Sb1 Sb 0.000 0.000 0.500
Te1 Te 0.500 0.500 0.000
# - energy relative to the elements, uncorrected (meV/atom) = 290
# - final energy (eV/atom) = -2.879
# - volume (Å³ per atom) = 36.30



No. 9
# KAlSbTe2 GGA-PBE optimized geometry
data_KAlSbTe2
_space_group_name_H-M_alt 'P 4/m m m'
_space_group_IT_number 123
_space_group_name_Hall '-P 4 2'
_cell_length_a 5.636
_cell_length_b 5.636
_cell_length_c 5.271
_cell_angle_alpha 90.00
_cell_angle_beta 90.00
_cell_angle_gamma 90.00
loop_
_atom_site_label
_atom_site_type_symbol
_atom_site_fract_x
_atom_site_fract_y
_atom_site_fract_z
K1 K 0.000 0.000 0.000
Al1 Al 0.500 0.500 0.500
Sb1 Sb 0.500 0.500 0.000
Te1 Te 0.000 0.500 0.500
# - energy relative to the elements, uncorrected (meV/atom) = -124
# - final energy (eV/atom) = -3.173
# - distance to the lowest polymorph of the same formula (eV/f.u.) = 0.00
# - volume (Å³ per atom) = 33.49



No. 10
# KAlSbTe2 GGA-PBE optimized geometry
data_KAlSbTe2
_space_group_name_H-M_alt 'P 4/m m m'
_space_group_IT_number 123
_space_group_name_Hall '-P 4 2'
_cell_length_a 6.064
_cell_length_b 6.064
_cell_length_c 5.876
_cell_angle_alpha 90.00
_cell_angle_beta 90.00
_cell_angle_gamma 90.00
loop_
_atom_site_label
_atom_site_type_symbol
_atom_site_fract_x
_atom_site_fract_y
_atom_site_fract_z
K1 K 0.000 0.000 0.000
Al1 Al 0.500 0.500 0.500
Sb1 Sb 0.000 0.000 0.500
Te1 Te 0.000 0.500 0.000
# - energy relative to the elements, uncorrected (meV/atom) = 1001
# - final energy (eV/atom) = -2.048
# - distance to the lowest polymorph of the same formula (eV/f.u.) = 5.62
# - volume (Å³ per atom) = 43.21



No. 11
# KAlSb2Te GGA-PBE optimized geometry
data_KAlSb2Te
_space_group_name_H-M_alt 'P 4/m m m'
_space_group_IT_number 123
_space_group_name_Hall '-P 4 2'
_cell_length_a 5.367
_cell_length_b 5.367
_cell_length_c 5.740
_cell_angle_alpha 90.00
_cell_angle_beta 90.00
_cell_angle_gamma 90.00
loop_
_atom_site_label
_atom_site_type_symbol
_atom_site_fract_x
_atom_site_fract_y
_atom_site_fract_z
K1 K 0.000 0.000 0.000
Al1 Al 0.500 0.500 0.500
Sb1 Sb 0.000 0.500 0.500
Te1 Te 0.500 0.500 0.000
# - energy relative to the elements, uncorrected (meV/atom) = 28
# - final energy (eV/atom) = -3.218
# - distance to the lowest polymorph of the same formula (eV/f.u.) = 0.00
# - volume (Å³ per atom) = 33.07



No. 12
# K2AlSbTe4 GGA-PBE optimized geometry
data_K2AlSbTe4
_space_group_name_H-M_alt 'P m n 21'
_space_group_IT_number 31
_space_group_name_Hall 'P 2ac -2'
_cell_length_a 10.294
_cell_length_b 9.646
_cell_length_c 7.086
_cell_angle_alpha 90.00
_cell_angle_beta 90.00
_cell_angle_gamma 90.00
loop_
_atom_site_label
_atom_site_type_symbol
_atom_site_fract_x
_atom_site_fract_y
_atom_site_fract_z
K1 K 0.244 0.158 0.000
Al1 Al 0.000 0.357 0.554
Sb1 Sb 0.000 0.675 0.041
Te1 Te 0.000 0.399 0.928
Te2 Te 0.000 0.618 0.435
Te3 Te 0.210 0.209 0.492
# - energy relative to the elements, uncorrected (meV/atom) = -563
# - final energy (eV/atom) = -3.392
# - volume (Å³ per atom) = 43.98